{
  "formula": "VFeO2",
  "functional": "PBE+U",
  "state": "optimized geometry",
  "volume_a3_per_fu": 48.41,
  "relative_energy_mev_per_atom": 0,
  "sg": "R-3m, No. 166",
  "e_tot_ev_per_cell": -28.3,
  "cell": [[1.766, 0.000, 5.975], [-0.883, 1.529, 5.975], [-0.883, -1.529, 5.975]],
  "species": ["Fe", "O", "O", "V"],
  "frac_coords": [[0.000, 0.000, 0.000], [0.892, 0.892, 0.892], [0.108, 0.108, 0.108], [0.500, 0.500, 0.500]]
}


{
  "formula": "VFe3O",
  "functional": "PBE+U",
  "state": "optimized geometry",
  "volume_a3_per_fu": 78.59,
  "relative_energy_mev_per_atom": 0,
  "sg": "Pm-3m, No. 221",
  "e_tot_ev_per_cell": -27.1,
  "cell": [[4.283, 0.000, 0.000], [0.000, 4.283, 0.000], [0.000, 0.000, 4.283]],
  "species": ["Fe", "Fe", "Fe", "O", "V"],
  "frac_coords": [[0.000, 0.500, 0.000], [0.000, 0.000, 0.500], [0.500, 0.000, 0.000], [0.000, 0.000, 0.000], [0.500, 0.500, 0.500]]
}


{
  "formula": "VFeO2",
  "functional": "PBE+U",
  "state": "optimized geometry",
  "volume_a3_per_fu": 37.32,
  "relative_energy_mev_per_atom": 419,
  "sg": "Fm-3m, No. 225",
  "e_tot_ev_per_cell": -26.6,
  "cell": [[-3.138, -1.804, 0.986], [-3.321, 1.167, -1.297], [-1.854, -2.058, -2.529]],
  "species": ["Fe", "O", "O", "V"],
  "frac_coords": [[0.500, 0.500, 0.500], [0.250, 0.250, 0.250], [0.750, 0.750, 0.750], [0.000, 0.000, 0.000]]
}


{
  "formula": "VFeO4",
  "functional": "PBE+U",
  "state": "optimized geometry",
  "volume_a3_per_fu": 118.79,
  "sg": "P2_1/c, No. 14",
  "e_tot_ev_per_cell": -172.0,
  "cell": [[-4.958, -2.348, 5.660], [11.214, -2.570, 0.999], [0.912, 5.114, 2.920]],
  "species": ["V", "V", "V", "V", "Fe", "Fe", "Fe", "Fe", "O", "O", "O", "O", "O", "O", "O", "O", "O", "O", "O", "O", "O", "O", "O", "O"],
  "frac_coords": [[0.861, 0.126, 0.991], [0.639, 0.374, 0.491], [0.361, 0.626, 0.509], [0.139, 0.874, 0.009], [0.469, 0.206, 0.991], [0.031, 0.294, 0.491], [0.969, 0.706, 0.509], [0.531, 0.794, 0.009], [0.762, 0.955, 0.000], [0.997, 0.190, 0.747], [0.826, 0.336, 0.491], [0.495, 0.301, 0.726], [0.674, 0.164, 0.991], [0.005, 0.199, 0.226], [0.503, 0.310, 0.247], [0.738, 0.545, 0.500], [0.262, 0.455, 0.500], [0.497, 0.690, 0.753], [0.995, 0.801, 0.774], [0.326, 0.836, 0.009], [0.505, 0.699, 0.274], [0.174, 0.664, 0.509], [0.003, 0.810, 0.253], [0.238, 0.045, 0.000]]
}